Entry 1:
Density functional theory data (GGA-PBE) for crystalline IrAuIO2 at its relaxed geometry.

a b c (Å): 3.8150 3.8150 8.6164
angles (deg): 90.00 90.00 90.00
Fractional coordinates of all 5 atoms:
I: 0.0000 0.0000 0.5000
Ir: 0.0000 0.0000 0.0000
Au: 0.5000 0.5000 0.5000
O: 0.0000 0.5000 0.0000
O: 0.5000 0.0000 0.0000

Computed properties:
For the uncorrected formation energy, the calculation gives -123 meV per atom. The density of states at the Fermi level comes out at 0.847 states/eV per atom. The calculation puts the relative energy among the computed polymorphs at 0.000 eV/atom. As for the space-group type: P4/mmm (123). Its total magnetization is 0.5 μB per formula unit.



Entry 2:
Density functional theory data (GGA-PBE) for crystalline AgSe2Cl at its relaxed geometry.

a b c (Å): 3.1458 3.1458 8.1406
angles (deg): 90.00 90.00 90.00
Fractional coordinates of all 4 atoms:
Ag: 0.5000 0.5000 0.2500
Cl: 0.5000 0.5000 0.7500
Se: 0.0000 0.0000 0.0159
Se: 0.0000 0.0000 0.4841

Computed properties:
For the uncorrected formation energy, the calculation gives 380 meV per atom. The density of states at the Fermi level comes out at 0.960 states/eV per atom. The calculation puts the relative energy among the computed polymorphs at 0.569 eV/atom. As for the space-group type: P4/mmm (123). Its total magnetization is 0.0 μB per formula unit.